Below is NbCrSbO6 after structural relaxation, with properties calculated at the PBE+U level.

Output
DOS at the Fermi energy   8.3 states/eV/cell
Density   5.49 g/cm³
E_tot   -135.021 eV/cell

a = 5.280 Å, b = 5.280 Å, c = 9.079 Å
α = 90.00°, β = 90.00°, γ = 120.00°
Element x y z (fractional)
1 Nb 0.333 0.667 0.250
2 Nb 0.667 0.333 0.750
3 Cr 0.000 0.000 0.000
4 Cr 0.000 0.000 0.500
5 Sb 0.333 0.667 0.750
6 Sb 0.667 0.333 0.250
7 O 0.002 0.349 0.631
8 O 0.002 0.653 0.869
9 O 0.347 0.349 0.869
10 O 0.347 0.998 0.631
11 O 0.349 0.002 0.131
12 O 0.349 0.347 0.369
13 O 0.651 0.653 0.631
14 O 0.651 0.998 0.869
15 O 0.653 0.002 0.369
16 O 0.653 0.651 0.131
17 O 0.998 0.347 0.131
18 O 0.998 0.651 0.369